YAg3Hg | meta-GGA SCAN | single point on PBEsol structure

Total DFT energy (no corrections), eV per atom: -37.61
Formation energy from the elements, eV per atom: 0.407
Size of the total moment, μB per formula unit: 0.00

Lattice parameters (Å, degrees): 5.037 5.037 5.037 90.00 90.00 90.00
Space group Pm-3m (No. 221)
Asymmetric unit:
Y (0.000, 0.000, 0.000) [1 per cell]
Ag (0.000, 0.500, 0.500) [3 per cell]
Hg (0.500, 0.500, 0.500) [1 per cell]



MgTlBr | meta-GGA SCAN | single point on PBEsol structure

Energy above the most stable polymorph in this dataset, eV per formula unit: 0.92
Total DFT energy (no corrections), eV per atom: -32.31
Raw formation energy, meV per atom: -50
Size of the total moment, μB per formula unit: 0.00

Lattice parameters (Å, degrees): 7.500 7.500 7.500 90.00 90.00 90.00
Space group F-43m (No. 216)
Asymmetric unit:
Mg (0.000, 0.000, 0.000) [4 per cell]
Tl (0.000, 0.000, 0.500) [4 per cell]
Br (0.250, 0.250, 0.250) [4 per cell]